Record 1
Here is a relaxed structure of YTlFe2 from Alexandria. Energies are from GGA-PBE.

Lattice parameters (Å, degrees): 4.4747 4.4747 3.7496 90.00 90.00 90.00
Fractional coordinates of all 4 atoms:
Y 0.0000 0.0000 0.0000
Tl 0.5000 0.5000 0.0000
Fe 0.0000 0.5000 0.5000
Fe 0.5000 0.0000 0.5000

Energy of formation from the pure elements = 1.3 eV per formula unit
Space-group type = P4/mmm (123)
Total energy = -6.111 eV per atom
Density of states at the Fermi level = 1.15 states/eV per atom
Energy above the lowest structure with this stoichiometry = 194 meV per atom

---

Record 2
Here is a relaxed structure of Y3TlFe3 from Alexandria. Energies are from GGA-PBE.

Lattice parameters (Å, degrees): 9.6367 9.6367 3.9627 90.00 90.00 120.00
Fractional coordinates of all 14 atoms:
Y 0.0747 0.6862 0.2500
Y 0.3138 0.3885 0.2500
Y 0.3885 0.0747 0.7500
Y 0.6115 0.9253 0.2500
Y 0.6862 0.6115 0.7500
Y 0.9253 0.3138 0.7500
Tl 0.3333 0.6667 0.7500
Tl 0.6667 0.3333 0.2500
Fe 0.0211 0.8676 0.7500
Fe 0.1324 0.1535 0.7500
Fe 0.1535 0.0211 0.2500
Fe 0.8465 0.9789 0.7500
Fe 0.8676 0.8465 0.2500
Fe 0.9789 0.1324 0.2500

Energy of formation from the pure elements = -0.6 eV per formula unit
Space-group type = P6_3/m (176)
Total energy = -6.820 eV per atom
Density of states at the Fermi level = 0.96 states/eV per atom

---

Record 3
Here is a relaxed structure of YTl2Fe from Alexandria. Energies are from GGA-PBE.

Lattice parameters (Å, degrees): 5.3035 5.3035 5.3035 127.61 127.61 77.25
Fractional coordinates of all 4 atoms:
Y 0.0000 0.0000 0.0000
Tl 0.2500 0.7500 0.5000
Tl 0.7500 0.2500 0.5000
Fe 0.5000 0.5000 0.0000

Energy of formation from the pure elements = 0.7 eV per formula unit
Space-group type = I4/mmm (139)
Total energy = -4.751 eV per atom
Density of states at the Fermi level = 0.82 states/eV per atom
Energy above the lowest structure with this stoichiometry = 25 meV per atom

---

Record 4
Here is a relaxed structure of YTl2Fe from Alexandria. Energies are from GGA-PBE.

Lattice parameters (Å, degrees): 10.9903 10.9903 10.9903 157.45 157.45 32.11
Fractional coordinates of all 8 atoms:
Y 0.0000 0.0000 0.0000
Y 0.7500 0.2500 0.5000
Tl 0.1467 0.6250 0.0217
Tl 0.3750 0.3967 0.5217
Tl 0.6033 0.1250 0.9783
Tl 0.8750 0.8533 0.4783
Fe 0.2500 0.7500 0.5000
Fe 0.5000 0.5000 0.0000

Energy of formation from the pure elements = 2.2 eV per formula unit
Space-group type = I-42d (122)
Total energy = -4.371 eV per atom
Density of states at the Fermi level = 1.35 states/eV per atom
Energy above the lowest structure with this stoichiometry = 406 meV per atom

---

Record 5
Here is a relaxed structure of YTl2Fe from Alexandria. Energies are from GGA-PBE.

Lattice parameters (Å, degrees): 9.4677 9.4677 9.4677 21.71 21.71 21.71
Fractional coordinates of all 4 atoms:
Y 0.0000 0.0000 0.0000
Tl 0.2350 0.2350 0.2350
Tl 0.4726 0.4726 0.4726
Fe 0.7364 0.7364 0.7364

Energy of formation from the pure elements = 1.2 eV per formula unit
Space-group type = R3m (160)
Total energy = -4.608 eV per atom
Density of states at the Fermi level = 1.11 states/eV per atom
Energy above the lowest structure with this stoichiometry = 168 meV per atom

---

Record 6
Here is a relaxed structure of YTl2Fe from Alexandria. Energies are from GGA-PBE.

Lattice parameters (Å, degrees): 5.6516 5.6516 5.6516 140.03 125.70 69.52
Fractional coordinates of all 4 atoms:
Y 0.0000 0.0000 0.0000
Tl 0.2775 0.7775 0.5000
Tl 0.7225 0.2225 0.5000
Fe 0.5000 0.5000 0.0000

Energy of formation from the pure elements = 0.6 eV per formula unit
Space-group type = Immm (71)
Total energy = -4.769 eV per atom
Density of states at the Fermi level = 0.75 states/eV per atom
Energy above the lowest structure with this stoichiometry = 7 meV per atom

---

Record 7
Here is a relaxed structure of YTlFe3 from Alexandria. Energies are from GGA-PBE.

Lattice parameters (Å, degrees): 4.8882 4.8882 4.8882 90.00 90.00 90.00
Fractional coordinates of all 5 atoms:
Y 0.0000 0.0000 0.0000
Tl 0.5000 0.5000 0.5000
Fe 0.0000 0.5000 0.5000
Fe 0.5000 0.0000 0.5000
Fe 0.5000 0.5000 0.0000

Energy of formation from the pure elements = 5.9 eV per formula unit
Space-group type = Pm-3m (221)
Total energy = -5.669 eV per atom
Density of states at the Fermi level = 1.70 states/eV per atom
Energy above the lowest structure with this stoichiometry = 0 meV per atom

---

Record 8
Here is a relaxed structure of YTlFe2 from Alexandria. Energies are from GGA-PBE.

Lattice parameters (Å, degrees): 4.7666 4.7666 4.7666 60.00 60.00 60.00
Fractional coordinates of all 4 atoms:
Y 0.0000 0.0000 0.0000
Tl 0.7500 0.7500 0.7500
Fe 0.2500 0.2500 0.2500
Fe 0.5000 0.5000 0.5000

Energy of formation from the pure elements = 1.3 eV per formula unit
Space-group type = F-43m (216)
Total energy = -6.107 eV per atom
Density of states at the Fermi level = 1.40 states/eV per atom
Energy above the lowest structure with this stoichiometry = 198 meV per atom